Entry 1:
## Li2CoAs (GGA-PBE)

Data for a relaxed structure of Li2CoAs.

The calculation puts the formation enthalpy at 0 K at -0.27 eV/atom.

It has space group Cm (No. 8), with a = 8.071 Å, b = 3.216 Å, c = 4.415 Å, α = 90.00°, β = 110.10° and γ = 90.00°. The asymmetric unit holds Li at (0.000, 0.000, 0.000), Li at (0.240, 0.000, 0.797), Co at (0.475, 0.000, 0.438) and As at (0.260, 0.500, 0.358).


Entry 2:
## Cd2ReAs (GGA-PBE)

Data for a relaxed structure of Cd2ReAs.

The calculation puts the formation enthalpy at 0 K at 0.67 eV/atom.

It has space group P4/mmm (No. 123), with a = 3.769 Å, b = 3.769 Å, c = 5.275 Å, α = 90.00°, β = 90.00° and γ = 90.00°. The asymmetric unit holds Cd at (0.000, 0.000, 0.246), Re at (0.500, 0.500, 0.000) and As at (0.500, 0.500, 0.500).


Entry 3:
## CaTl2Ru (GGA-PBE)

Data for a relaxed structure of CaTl2Ru.

The calculation puts the formation enthalpy at 0 K at 0.11 eV/atom.

It has space group P4/mmm (No. 123), with a = 3.428 Å, b = 3.428 Å, c = 7.651 Å, α = 90.00°, β = 90.00° and γ = 90.00°. The asymmetric unit holds Ca at (0.000, 0.000, 0.000), Tl at (0.500, 0.500, 0.291) and Ru at (0.000, 0.000, 0.500).


Entry 4:
## DyErCdAg (GGA-PBE)

Data for a relaxed structure of DyErCdAg.

The calculation puts the formation enthalpy at 0 K at -0.32 eV/atom.

It has space group P4mm (No. 99), with a = 3.671 Å, b = 3.671 Å, c = 7.351 Å, α = 90.00°, β = 90.00° and γ = 90.00°. The asymmetric unit holds Dy at (0.000, 0.000, 0.000), Er at (0.000, 0.000, 0.483), Cd at (0.500, 0.500, 0.739) and Ag at (0.500, 0.500, 0.247).


Entry 5:
## Ho2Er3PuS6 (GGA-PBE)

Data for a relaxed structure of Ho2Er3PuS6.

The total energy is -7.1176 eV/atom.

It has space group C2/m (No. 12), with a = 16.939 Å, b = 3.867 Å, c = 7.798 Å, α = 90.00°, β = 103.36° and γ = 90.00°. The asymmetric unit holds Ho at (0.164, 0.000, 0.329), Er at (0.000, 0.500, 0.500), Er at (0.165, 0.000, 0.836), Pu at (0.000, 0.500, 0.000), S at (0.001, 0.000, 0.745), S at (0.167, 0.500, 0.584) and S at (0.169, 0.500, 0.084).


Entry 6:
## Cs2MnCuS4 (GGA-PBE)

Data for a relaxed structure of Cs2MnCuS4.

The total energy is -4.7507 eV/atom.

It has space group Fddd (No. 70, origin choice 2), with a = 5.552 Å, b = 14.049 Å, c = 24.587 Å, α = 90.00°, β = 90.00° and γ = 90.00°. The asymmetric unit holds Cs at (0.125, 0.125, 0.302), Mn at (0.125, 0.125, 0.625), Cu at (0.125, 0.125, 0.125) and S at (0.103, 0.287, 0.826).


Entry 7:
## PmSm2Y (GGA-PBE)

Data for a relaxed structure of PmSm2Y.

The calculation puts the formation enthalpy at 0 K at 0.01 eV/atom.

It has space group R-3m (No. 166, hexagonal axes), with a = 3.6208 Å, b = 3.6208 Å, c = 35.4173 Å, α = 90.00°, β = 90.00° and γ = 120.00°. The asymmetric unit holds Pm at (0.0000, 0.0000, 0.0000), Sm at (0.0000, 0.0000, 0.2492) and Y at (0.0000, 0.0000, 0.5000).


Entry 8:
## K3BaBi2 (GGA-PBE)

Data for a relaxed structure of K3BaBi2.

The calculation puts the formation enthalpy at 0 K at -0.48 eV/atom.

It has space group Pmc2_1 (No. 26), with a = 4.704 Å, b = 11.578 Å, c = 9.729 Å, α = 90.00°, β = 90.00° and γ = 90.00°. The asymmetric unit holds K at (0.000, 0.076, 0.000), K at (0.000, 0.320, 0.440), K at (0.500, 0.173, 0.692), Ba at (0.500, 0.409, 0.100), Bi at (0.000, 0.395, 0.806) and Bi at (0.500, 0.130, 0.289).


Entry 9:
## LiCrPt (GGA-PBE)

Data for a relaxed structure of LiCrPt.

The calculation puts the formation enthalpy at 0 K at -0.24 eV/atom.

It has space group P2_1/m (No. 11), with a = 2.751 Å, b = 2.790 Å, c = 11.052 Å, α = 90.00°, β = 91.99° and γ = 90.00°. The asymmetric unit holds Li at (0.238, 0.250, 0.392), Cr at (0.175, 0.250, 0.068) and Pt at (0.276, 0.250, 0.768).


Entry 10:
## PaAl2CdO8 (GGA-PBE)

Data for a relaxed structure of PaAl2CdO8.

The total energy is -6.8999 eV/atom.

It has space group I-4m2 (No. 119), with a = 6.977 Å, b = 6.977 Å, c = 6.663 Å, α = 90.00°, β = 90.00° and γ = 90.00°. The asymmetric unit holds Pa at (0.000, 0.000, 0.000), Al at (0.000, 0.000, 0.500), Al at (0.000, 0.500, 0.250), Cd at (0.000, 0.500, 0.750), O at (0.000, 0.180, 0.688) and O at (0.000, 0.302, 0.084).


Entry 11:
## K2Ga4CuGe3 (GGA-PBE)

Data for a relaxed structure of K2Ga4CuGe3.

The calculation puts the formation enthalpy at 0 K at -0.09 eV/atom.

It has space group P-4m2 (No. 115), with a = 4.524 Å, b = 4.524 Å, c = 10.809 Å, α = 90.00°, β = 90.00° and γ = 90.00°. The asymmetric unit holds K at (0.000, 0.500, 0.248), Ga at (0.000, 0.000, 0.500), Ga at (0.000, 0.500, 0.877), Ga at (0.500, 0.500, 0.500), Cu at (0.500, 0.500, 0.000), Ge at (0.000, 0.000, 0.000) and Ge at (0.000, 0.500, 0.632).


Entry 12:
## PrNdZnRu (GGA-PBE)

Data for a relaxed structure of PrNdZnRu.

The calculation puts the formation enthalpy at 0 K at -0.23 eV/atom.

It has space group Amm2 (No. 38), with a = 4.382 Å, b = 4.121 Å, c = 10.911 Å, α = 90.00°, β = 90.00° and γ = 90.00°. The asymmetric unit holds Pr at (0.000, 0.000, 0.000), Nd at (0.500, 0.000, 0.721), Zn at (0.500, 0.000, 0.426) and Ru at (0.000, 0.000, 0.289).


Entry 13:
## BaFe2Pb (GGA-PBE)

Data for a relaxed structure of BaFe2Pb.

The calculation puts the formation enthalpy at 0 K at 0.83 eV/atom.

It has space group I4_1/amd (No. 141, origin choice 2), with a = 4.858 Å, b = 4.858 Å, c = 18.176 Å, α = 90.00°, β = 90.00° and γ = 90.00°. The asymmetric unit holds Ba at (0.000, 0.250, 0.375), Fe at (0.000, 0.000, 0.000) and Pb at (0.000, 0.250, 0.875).


Entry 14:
## MoIr2Se (GGA-PBE)

Data for a relaxed structure of MoIr2Se.

The total energy is -7.8177 eV/atom.

It has space group Pmmm (No. 47), with a = 2.881 Å, b = 3.874 Å, c = 5.570 Å, α = 90.00°, β = 90.00° and γ = 90.00°. The asymmetric unit holds Mo at (0.000, 0.000, 0.000), Ir at (0.500, 0.500, 0.239) and Se at (0.000, 0.000, 0.500).


Entry 15:
## LiMn2SnC (GGA-PBE)

Data for a relaxed structure of LiMn2SnC.

The calculation puts the formation enthalpy at 0 K at -0.03 eV/atom.

It has space group P4/mmm (No. 123), with a = 3.856 Å, b = 3.856 Å, c = 4.123 Å, α = 90.00°, β = 90.00° and γ = 90.00°. The asymmetric unit holds Li at (0.000, 0.000, 0.000), Mn at (0.000, 0.500, 0.500), Sn at (0.500, 0.500, 0.000) and C at (0.000, 0.000, 0.500).


Entry 16:
## LaSmZnGe (GGA-PBE)

Data for a relaxed structure of LaSmZnGe.

The calculation puts the formation enthalpy at 0 K at -0.54 eV/atom.

It has space group F-43m (No. 216), with a = 7.376 Å, b = 7.376 Å, c = 7.376 Å, α = 90.00°, β = 90.00° and γ = 90.00°. The asymmetric unit holds La at (0.000, 0.000, 0.000), Sm at (0.000, 0.000, 0.500), Zn at (0.250, 0.250, 0.750) and Ge at (0.250, 0.250, 0.250).


Entry 17:
## SiSnSb2Te (GGA-PBE)

Data for a relaxed structure of SiSnSb2Te.

The total energy is -3.0902 eV/atom.

It has space group P4/mmm (No. 123), with a = 5.617 Å, b = 5.617 Å, c = 5.640 Å, α = 90.00°, β = 90.00° and γ = 90.00°. The asymmetric unit holds Si at (0.000, 0.000, 0.000), Sn at (0.500, 0.500, 0.500), Sb at (0.000, 0.500, 0.500) and Te at (0.500, 0.500, 0.000).


Entry 18:
## KCd2Se (GGA-PBE)

Data for a relaxed structure of KCd2Se.

The total energy is -1.7298 eV/atom.

It has space group Cmmm (No. 65), with a = 6.054 Å, b = 11.979 Å, c = 3.115 Å, α = 90.00°, β = 90.00° and γ = 90.00°. The asymmetric unit holds K at (0.000, 0.000, 0.000), Cd at (0.250, 0.250, 0.500) and Se at (0.000, 0.500, 0.000).


Entry 19:
## Ac3Au5 (GGA-PBE)

Data for a relaxed structure of Ac3Au5.

The calculation puts the formation enthalpy at 0 K at -0.80 eV/atom.

It has space group Fdd2 (No. 43), with a = 6.177 Å, b = 18.336 Å, c = 15.821 Å, α = 90.00°, β = 90.00° and γ = 90.00°. The asymmetric unit holds Ac at (0.000, 0.000, 0.000), Ac at (0.036, 0.165, 0.508), Au at (0.000, 0.000, 0.434), Au at (0.035, 0.162, 0.086) and Au at (0.084, 0.191, 0.903).


Entry 20:
## CrRe2Hg (GGA-PBE)

Data for a relaxed structure of CrRe2Hg.

The calculation puts the formation enthalpy at 0 K at 0.79 eV/atom.

It has space group Cmmm (No. 65), with a = 5.436 Å, b = 7.975 Å, c = 2.867 Å, α = 90.00°, β = 90.00° and γ = 90.00°. The asymmetric unit holds Cr at (0.000, 0.000, 0.000), Re at (0.250, 0.250, 0.500) and Hg at (0.000, 0.500, 0.000).


Entry 21:
## CaCeCu10 (GGA-PBE)

Data for a relaxed structure of CaCeCu10.

The calculation puts the formation enthalpy at 0 K at -0.12 eV/atom.

It has space group Pmmm (No. 47), with a = 4.078 Å, b = 5.137 Å, c = 8.794 Å, α = 90.00°, β = 90.00° and γ = 90.00°. The asymmetric unit holds Ca at (0.000, 0.000, 0.000), Ce at (0.000, 0.500, 0.500), Cu at (0.000, 0.000, 0.333), Cu at (0.000, 0.500, 0.165), Cu at (0.500, 0.000, 0.500), Cu at (0.500, 0.252, 0.251) and Cu at (0.500, 0.500, 0.000).


Entry 22:
## PrSm5Ho (GGA-PBE)

Data for a relaxed structure of PrSm5Ho.

The calculation puts the formation enthalpy at 0 K at 0.87 eV/atom.

It has space group Imm2 (No. 44), with a = 8.016 Å, b = 11.788 Å, c = 6.261 Å, α = 90.00°, β = 90.00° and γ = 90.00°. The asymmetric unit holds Pr at (0.000, 0.000, 0.000), Sm at (0.000, 0.253, 0.993), Sm at (0.000, 0.500, 0.262), Sm at (0.180, 0.000, 0.498) and Ho at (0.000, 0.500, 0.735).


Entry 23:
## InNiHRh2 (GGA-PBE)

Data for a relaxed structure of InNiHRh2.

The total energy is -5.2668 eV/atom.

It has space group P4/mmm (No. 123), with a = 3.874 Å, b = 3.874 Å, c = 4.204 Å, α = 90.00°, β = 90.00° and γ = 90.00°. The asymmetric unit holds In at (0.000, 0.000, 0.000), Ni at (0.500, 0.500, 0.000), H at (0.000, 0.000, 0.500) and Rh at (0.000, 0.500, 0.500).


Entry 24:
## Na4TbTl5 (GGA-PBE)

Data for a relaxed structure of Na4TbTl5.

The calculation puts the formation enthalpy at 0 K at -0.15 eV/atom.

It has space group P4/mmm (No. 123), with a = 3.618 Å, b = 3.618 Å, c = 21.668 Å, α = 90.00°, β = 90.00° and γ = 90.00°. The asymmetric unit holds Na at (0.000, 0.000, 0.104), Na at (0.000, 0.000, 0.308), Tb at (0.000, 0.000, 0.500), Tl at (0.500, 0.500, 0.000), Tl at (0.500, 0.500, 0.207) and Tl at (0.500, 0.500, 0.405).


Entry 25:
## HfInFeCl2 (GGA-PBE)

Data for a relaxed structure of HfInFeCl2.

The total energy is -4.8333 eV/atom.

It has space group P4/mmm (No. 123), with a = 4.522 Å, b = 4.522 Å, c = 5.266 Å, α = 90.00°, β = 90.00° and γ = 90.00°. The asymmetric unit holds Hf at (0.000, 0.000, 0.000), In at (0.500, 0.500, 0.000), Fe at (0.000, 0.000, 0.500) and Cl at (0.000, 0.500, 0.500).


Entry 26:
## Dy2AlHg (GGA-PBE)

Data for a relaxed structure of Dy2AlHg.

The calculation puts the formation enthalpy at 0 K at -0.40 eV/atom.

It has space group Fm-3m (No. 225), with a = 7.363 Å, b = 7.363 Å, c = 7.363 Å, α = 90.00°, β = 90.00° and γ = 90.00°. The asymmetric unit holds Dy at (0.250, 0.250, 0.250), Al at (0.000, 0.000, 0.000) and Hg at (0.000, 0.000, 0.500).